1.
A plane-wave DFT calculation with PBE was carried out for Ti5AlOs4 after structural relaxation.

E_form: -6.31 eV per formula unit
Density of states at the Fermi level: 0.435 states/eV per atom

abc: 3.110 3.110 15.485
angles: 90.00 90.00 90.00
Atoms (fractional coordinates):
Os: 0.000 0.000 0.200
Os: 0.000 0.000 0.800
Os: 0.000 0.000 0.600
Os: 0.000 0.000 0.400
Ti: 0.500 0.500 0.302
Ti: 0.500 0.500 0.894
Ti: 0.500 0.500 0.500
Ti: 0.500 0.500 0.106
Ti: 0.500 0.500 0.698
Al: 0.000 0.000 0.000

=====

2.
A plane-wave DFT calculation with PBE was carried out for PuMg4Pa after structural relaxation.

E_form: 1.38 eV per formula unit
Density of states at the Fermi level: 2.481 states/eV per atom

abc: 5.917 5.917 5.917
angles: 60.00 60.00 60.00
Site moments in Bohr magnetons follow the coordinates.
Atoms (fractional coordinates):
Mg: 0.625 0.125 0.625  0.00
Mg: 0.125 0.625 0.625  0.00
Mg: 0.625 0.625 0.625  0.00
Mg: 0.625 0.625 0.125  0.00
Pu: 0.000 0.000 0.000  -5.53
Pa: 0.250 0.250 0.250  -1.19

=====

3.
A plane-wave DFT calculation with PBE was carried out for BaNpReN4 after structural relaxation.

Density of states at the Fermi level: 1.076 states/eV per atom
Energy relative to the elements, uncorrected: -0.639 eV/atom

abc: 6.044 5.936 7.464
angles: 90.00 106.63 90.00
Site moments in Bohr magnetons follow the coordinates.
Atoms (fractional coordinates):
N: 0.533 0.250 0.434  -0.02
N: 0.947 0.492 0.687  -0.05
N: 0.556 0.250 0.822  -0.01
N: 0.444 0.750 0.178  -0.01
N: 0.467 0.750 0.566  -0.02
N: 0.947 0.008 0.687  -0.05
N: 0.053 0.992 0.313  -0.05
N: 0.053 0.508 0.313  -0.05
Ba: 0.712 0.750 0.926  0.03
Ba: 0.288 0.250 0.074  0.03
Np: 0.203 0.250 0.549  3.56
Np: 0.797 0.750 0.451  3.56
Re: 0.742 0.250 0.663  0.28
Re: 0.258 0.750 0.337  0.28

=====

Total magnetization across the listed records, respectively: 0.00 7.54 4.01 μB/f.u..